Below is AlVCuF6 after structural relaxation, with properties calculated at the PBE with a Hubbard U level.

**SG**: P-31c (163)
**V**: 12.44 Å³ per atom
**VASP energy**: -5.545 eV/atom

Unit cell a=5.295 b=5.295 c=9.225 alpha=90.00 beta=90.00 gamma=120.00
Atoms (fractional coordinates):
Cu1 0.000 0.000 0.500
Cu2 0.000 0.000 0.000
V1 0.333 0.667 0.250
V2 0.667 0.333 0.750
F1 0.618 0.659 0.639
F2 0.041 0.659 0.861
F3 0.959 0.341 0.139
F4 0.341 0.382 0.861
F5 0.382 0.341 0.361
F6 0.341 0.959 0.639
F7 0.659 0.041 0.361
F8 0.659 0.618 0.139
F9 0.382 0.041 0.139
F10 0.959 0.618 0.361
F11 0.618 0.959 0.861
F12 0.041 0.382 0.639
Al1 0.667 0.333 0.250
Al2 0.333 0.667 0.750